K4InCl5: relaxed, PBE.

Cell lengths 4.5217, 7.8367, 10.1026 Å; angles 75.10, 77.07, 73.23 degrees
Element x y z (fractional)
K: 0.5982 0.2017 0.6020
K: 0.2019 0.3953 0.2009
K: 0.7981 0.6047 0.7991
K: 0.4018 0.7983 0.3980
In: 0.0000 0.0000 0.0000
Cl: 0.2008 0.9015 0.6969
Cl: 0.7992 0.0985 0.3031
Cl: 0.3973 0.3069 0.8984
Cl: 0.0000 0.5000 0.5000
Cl: 0.6027 0.6931 0.1016

Results
Energy above the lowest structure with this stoichiometry in eV/atom: 0.002
D(E_F) in states/eV/cell: 0.0
ΔE_f (raw) in eV/atom: -1.73
Energy in eV/cell: -33.627

***

PuTl2CrCl8: relaxed, PBE.

Cell lengths 3.8679, 9.3287, 14.8442 Å; angles 85.43, 75.66, 129.16 degrees
Site moments in Bohr magnetons follow the coordinates.
Element x y z (fractional)
Pu: 0.0000 0.0000 0.5000  4.99
Tl: 0.6622 0.6125 0.2597  0.01
Tl: 0.3378 0.3875 0.7403  0.01
Cr: 0.0000 0.0000 0.0000  2.95
Cl: 0.4571 0.7564 0.6804  -0.04
Cl: 0.4129 0.6705 0.0893  -0.01
Cl: 0.5047 0.9436 0.9047  -0.06
Cl: 0.5429 0.2436 0.3196  -0.04
Cl: 0.5871 0.3295 0.9107  -0.01
Cl: 0.4953 0.0564 0.0953  -0.06
Cl: 0.2131 0.7811 0.4513  -0.04
Cl: 0.7869 0.2189 0.5487  -0.04

Results
D(E_F) in states/eV/cell: 11.0
ΔE_f (raw) in eV/atom: -1.30
Energy in eV/cell: -59.092

***

Ac2CO6: relaxed, PBE.

Cell lengths 3.9531, 14.0887, 6.2064 Å; angles 90.00, 90.00, 114.80 degrees
Element x y z (fractional)
Ac: 0.1226 0.3386 0.4451
Ac: 0.3774 0.1614 0.9451
Ac: 0.6226 0.8386 0.0549
Ac: 0.8774 0.6614 0.5549
C: 0.5000 0.0000 0.5000
C: 0.0000 0.5000 0.0000
O: 0.0178 0.7689 0.2378
O: 0.1824 0.5299 0.4426
O: 0.3747 0.0621 0.4858
O: 0.1253 0.4379 0.9858
O: 0.3176 0.9701 0.9426
O: 0.4822 0.7311 0.7378
O: 0.9822 0.2311 0.7622
O: 0.8176 0.4701 0.5574
O: 0.6253 0.9379 0.5142
O: 0.8747 0.5621 0.0142
O: 0.6824 0.0299 0.0574
O: 0.5178 0.2689 0.2622

Results
Energy above the lowest structure with this stoichiometry in eV/atom: 0.000
D(E_F) in states/eV/cell: 0.0
ΔE_f (raw) in eV/atom: -2.17
Energy in eV/cell: -133.470

***

CaMgCd2: relaxed, PBE.

Cell lengths 4.8924, 3.4984, 6.2005 Å; angles 74.13, 90.00, 90.00 degrees
Element x y z (fractional)
Ca: 0.5000 0.7872 0.7935
Mg: 0.0000 0.4635 0.4456
Cd: 0.0000 0.1909 0.9916
Cd: 0.5000 0.0584 0.2693

Results
D(E_F) in states/eV/cell: 1.9
Energy in eV/cell: -6.232

***

AcSb2Pd5Pt: relaxed, PBE.

Cell lengths 5.0771, 5.0771, 7.7569 Å; angles 90.00, 90.00, 90.00 degrees
Element x y z (fractional)
Ac: 0.0000 0.0000 0.5000
Sb: 0.5000 0.5000 0.1803
Sb: 0.5000 0.5000 0.8197
Pd: 0.0000 0.5000 0.1834
Pd: 0.5000 0.0000 0.1834
Pd: 0.0000 0.5000 0.8166
Pd: 0.5000 0.0000 0.8166
Pd: 0.5000 0.5000 0.5000
Pt: 0.0000 0.0000 0.0000

Results
D(E_F) in states/eV/cell: 4.3
ΔE_f (raw) in eV/atom: -0.22
Energy in eV/cell: -46.335

***

Pm2Y4Th: relaxed, PBE.

Cell lengths 3.5818, 3.5818, 21.1583 Å; angles 85.14, 85.14, 60.00 degrees
Element x y z (fractional)
Pm: 0.2351 0.2351 0.2947
Pm: 0.7649 0.7649 0.7053
Y: 0.7105 0.7105 0.8684
Y: 0.2895 0.2895 0.1316
Y: 0.1435 0.1435 0.5694
Y: 0.8565 0.8565 0.4306
Th: 0.0000 0.0000 0.0000

Results
Energy above the lowest structure with this stoichiometry in eV/atom: 0.051
D(E_F) in states/eV/cell: 10.0
Energy in eV/cell: -42.248

***

Tb7Bi2Ir2: relaxed, PBE.

Cell lengths 6.9042, 7.2674, 6.9042 Å; angles 90.00, 101.08, 90.00 degrees
Element x y z (fractional)
Tb: 0.0000 0.2372 0.5000
Tb: 0.5000 0.7628 0.0000
Tb: 0.0000 0.7628 0.5000
Tb: 0.5000 0.2372 0.0000
Tb: 0.0000 0.0000 0.0000
Tb: 0.5000 0.7719 0.5000
Tb: 0.5000 0.2281 0.5000
Bi: 0.7965 0.5000 0.7965
Bi: 0.2035 0.5000 0.2035
Ir: 0.7218 0.0000 0.2782
Ir: 0.2782 0.0000 0.7218

Results
Energy above the lowest structure with this stoichiometry in eV/atom: 0.105
D(E_F) in states/eV/cell: 8.5
Energy in eV/cell: -64.094

***

BaMg2Al: relaxed, PBE.

Cell lengths 5.1351, 4.8511, 4.8511 Å; angles 90.00, 90.00, 90.00 degrees
Element x y z (fractional)
Al: 0.5000 0.5000 0.0000
Ba: 0.5000 0.0000 0.5000
Mg: 0.0000 0.0000 0.0000
Mg: 0.0000 0.5000 0.5000

Results
D(E_F) in states/eV/cell: 4.6
Energy in eV/cell: -8.358